Record 1
Below is a geometry-optimized Ba3Sn7Ir2 structure, with properties calculated at the GGA-PBE level.

Results
Formation enthalpy at 0 K in kJ per mole of atoms: -25.6
Total DFT energy (no corrections) in eV per atom: -4.56
Space group: Cmmm, No. 65

Lattice parameters (Å, degrees): 14.620 14.620 5.063 90.00 90.00 159.76
Sites, in units of the cell vectors:
Ba: 0.000 0.000 0.000
Ba: 0.202 0.798 0.000
Ba: 0.798 0.202 0.000
Sn: 0.114 0.886 0.500
Sn: 0.308 0.692 0.500
Sn: 0.386 0.614 0.000
Sn: 0.500 0.500 0.500
Sn: 0.614 0.386 0.000
Sn: 0.692 0.308 0.500
Sn: 0.886 0.114 0.500
Ir: 0.414 0.586 0.500
Ir: 0.586 0.414 0.500


Record 2
Below is a geometry-optimized LiCdPb2 structure, with properties calculated at the GGA-PBE level.

Results
Formation enthalpy at 0 K in kJ per mole of atoms: -5.7
Total DFT energy (no corrections) in eV per atom: -2.62
Space group: P4/mmm, No. 123

Lattice parameters (Å, degrees): 3.395 3.395 8.752 90.00 90.00 90.00
Sites, in units of the cell vectors:
Li: 0.000 0.000 0.000
Cd: 0.000 0.000 0.500
Pb: 0.500 0.500 0.229
Pb: 0.500 0.500 0.771


Record 3
Below is a geometry-optimized LiHg2Ru structure, with properties calculated at the GGA-PBE level.

Results
Formation enthalpy at 0 K in kJ per mole of atoms: 26.9
Total DFT energy (no corrections) in eV per atom: -2.67
Space group: C2/m, No. 12

Lattice parameters (Å, degrees): 4.760 4.760 5.579 98.10 98.10 36.13
Sites, in units of the cell vectors:
Li: 0.000 0.000 0.000
Hg: 0.247 0.247 0.748
Hg: 0.753 0.753 0.252
Ru: 0.500 0.500 0.500


Record 4
Below is a geometry-optimized InRh2Br structure, with properties calculated at the GGA-PBE level.

Results
Total DFT energy (no corrections) in eV per atom: -4.62
Space group: R-3m, No. 166
Raw formation energy in eV/atom: 0.16

Lattice parameters (Å, degrees): 8.331 8.331 8.331 22.06 22.06 22.06
Sites, in units of the cell vectors:
In: 0.000 0.000 0.000
Rh: 0.249 0.249 0.249
Rh: 0.751 0.751 0.751
Br: 0.500 0.500 0.500


Record 5
Below is a geometry-optimized Fe4Ni2Ir structure, with properties calculated at the GGA-PBE level.

Results
Formation enthalpy at 0 K in kJ per mole of atoms: 18.5
Total DFT energy (no corrections) in eV per atom: -7.56
Space group: Cmmm, No. 65

Lattice parameters (Å, degrees): 5.045 5.045 3.695 90.00 90.00 101.80
Sites, in units of the cell vectors:
Fe: 0.000 0.500 0.500
Fe: 0.205 0.205 0.000
Fe: 0.500 0.000 0.500
Fe: 0.795 0.795 0.000
Ni: 0.267 0.733 0.000
Ni: 0.733 0.267 0.000
Ir: 0.500 0.500 0.500


Record 6
Below is a geometry-optimized LaMg2Cr structure, with properties calculated at the GGA-PBE level.

Results
Formation enthalpy at 0 K in kJ per mole of atoms: 41.3
Total DFT energy (no corrections) in eV per atom: -4.01
Space group: R3m, No. 160

Lattice parameters (Å, degrees): 10.640 10.640 10.640 17.92 17.92 17.92
Sites, in units of the cell vectors:
La: 0.000 0.000 0.000
Mg: 0.513 0.513 0.513
Mg: 0.762 0.762 0.762
Cr: 0.251 0.251 0.251